[1]
Compound: FeNiRh2
Source: the Alexandria database
Functional: PBE
Structure: relaxed

It has space group I-4m2 (No. 119), with a = 3.7149 Å, b = 3.7149 Å, c = 7.5593 Å, α = 90.00°, β = 90.00° and γ = 90.00°. The distinct sites, in fractional coordinates, are Fe at (0.0000, 0.0000, 0.0000), Ni at (0.0000, 0.5000, 0.7500), Rh at (0.0000, 0.0000, 0.5000) and Rh at (0.0000, 0.5000, 0.2500).

The value obtained for the magnetization is 4.24 μB/f.u. The value obtained for the total DFT energy (no corrections) is -7.260 eV/atom. The calculation puts the formation energy at -23.4 meV per atom.

[2]
Compound: FeNi8Rh2
Source: the Alexandria database
Functional: PBE
Structure: relaxed

It has space group C2/m (No. 12), with a = 14.2073 Å, b = 4.7753 Å, c = 3.9787 Å, α = 90.00°, β = 92.11° and γ = 90.00°. The distinct sites, in fractional coordinates, are Fe at (0.0000, 0.0000, 0.0000), Ni at (0.0454, 0.5000, 0.2481), Ni at (0.1198, 0.2597, 0.7376), Ni at (0.1614, 0.0000, 0.2466) and Rh at (0.2229, 0.5000, 0.2358).

The value obtained for the magnetization is 10.47 μB/f.u. The calculation puts the excess energy over the best structure of this formula in the dataset at 0 meV per atom. The value obtained for the total DFT energy (no corrections) is -6.178 eV/atom. The calculation puts the formation energy at 132.8 meV per atom.

Q: The highest total DFT energy (no corrections) belongs to which entry?
A: FeNi8Rh2